1.
Entry from OQMD: crystalline Tb2Zr2O5 at its relaxed geometry (GGA-PBE).

CIF file:
```
data_Tb2Zr2O5
_cell_length_a 3.642
_cell_length_b 3.642
_cell_length_c 9.886
_cell_angle_alpha 90.00
_cell_angle_beta 90.00
_cell_angle_gamma 90.00
_space_group_name_H-M_alt 'P 1'
_space_group_IT_number 1
loop_
_space_group_symop_operation_xyz
'x,y,z'
loop_
_atom_site_label
_atom_site_type_symbol
_atom_site_fract_x
_atom_site_fract_y
_atom_site_fract_z
Tb1 Tb 0.000 0.000 0.250
Tb2 Tb 0.000 0.000 0.750
Zr1 Zr 0.500 0.500 0.000
Zr2 Zr 0.500 0.500 0.500
O1 O 0.000 0.000 0.000
O2 O 0.000 0.500 0.373
O3 O 0.000 0.500 0.627
O4 O 0.500 0.000 0.373
O5 O 0.500 0.000 0.627
```

For the distance to the lowest polymorph of the same formula, the calculation gives 0 meV/atom. Its calculated total energy is -75.23 eV per cell.

---

2.
Entry from OQMD: crystalline BaU2S5 at its relaxed geometry (GGA-PBE).

CIF file:
```
data_BaU2S5
_cell_length_a 8.459
_cell_length_b 7.509
_cell_length_c 11.749
_cell_angle_alpha 90.00
_cell_angle_beta 90.52
_cell_angle_gamma 90.00
_space_group_name_H-M_alt 'P 1'
_space_group_IT_number 1
loop_
_space_group_symop_operation_xyz
'x,y,z'
loop_
_atom_site_label
_atom_site_type_symbol
_atom_site_fract_x
_atom_site_fract_y
_atom_site_fract_z
Ba1 Ba 0.009 0.055 0.332
Ba2 Ba 0.009 0.445 0.832
Ba3 Ba 0.991 0.555 0.168
Ba4 Ba 0.991 0.945 0.668
U1 U 0.258 0.568 0.492
U2 U 0.258 0.932 0.992
U3 U 0.500 0.021 0.319
U4 U 0.500 0.479 0.819
U5 U 0.500 0.521 0.181
U6 U 0.500 0.979 0.681
U7 U 0.742 0.068 0.008
U8 U 0.742 0.432 0.508
S1 S 0.036 0.175 0.071
S2 S 0.036 0.325 0.571
S3 S 0.277 0.689 0.714
S4 S 0.277 0.811 0.214
S5 S 0.286 0.160 0.812
S6 S 0.286 0.340 0.312
S7 S 0.295 0.552 0.998
S8 S 0.295 0.948 0.498
S9 S 0.456 0.163 0.098
S10 S 0.456 0.337 0.598
S11 S 0.544 0.663 0.402
S12 S 0.544 0.837 0.902
S13 S 0.705 0.052 0.502
S14 S 0.705 0.448 0.002
S15 S 0.714 0.660 0.688
S16 S 0.714 0.840 0.188
S17 S 0.723 0.189 0.786
S18 S 0.723 0.311 0.286
S19 S 0.964 0.675 0.429
S20 S 0.964 0.825 0.929
```

Its calculated total energy is -231.81 eV per cell.